This record from Alexandria describes an optimized crystal structure of Tl6Hg3Bi. The functional is PBE.

Cell: 4.641 14.537 11.525 Å, 124.06 90.00 90.00°
Element x y z (fractional)
1 Tl 0.250 0.905 0.528
2 Tl 0.750 0.350 0.038
3 Tl 0.750 0.933 0.056
4 Hg 0.750 0.464 0.857
5 Tl 0.750 0.836 0.680
6 Tl 0.250 0.418 0.337
7 Tl 0.250 0.650 0.962
8 Hg 0.750 0.597 0.385
9 Tl 0.750 0.095 0.472
10 Tl 0.250 0.164 0.320
11 Hg 0.250 0.536 0.143
12 Tl 0.250 0.258 0.749
13 Hg 0.250 0.403 0.615
14 Tl 0.750 0.582 0.663
15 Tl 0.250 0.067 0.944
16 Bi 0.250 0.909 0.242
17 Tl 0.750 0.742 0.251
18 Hg 0.750 0.218 0.179
19 Bi 0.750 0.091 0.758
20 Hg 0.250 0.782 0.821

As for the symmetry: P2_1/m, No. 11. The calculation puts the density of states at the Fermi level at 6.764 states/eV/cell. As for the calculated volume: 644.1 Å³/cell. For the formation energy, the calculation gives 0.10 eV/f.u. For the calculated density, the calculation gives 10.5 Mg/m³.

=====

This record from Alexandria describes an optimized crystal structure of K2YUS6. The functional is PBE.

Cell: 7.382 7.382 10.448 Å, 90.00 90.01 90.00°
Element x y z (fractional)
1 S 0.485 0.999 0.742
2 K 0.499 0.496 0.250
3 Y 0.500 0.000 0.000
4 S 0.771 0.755 0.992
5 S 0.729 0.255 0.508
6 K 0.999 0.004 0.750
7 S 0.515 0.001 0.258
8 S 0.745 0.271 0.992
9 Y 0.000 0.500 0.500
10 U 0.000 0.500 0.000
11 S 0.245 0.229 0.492
12 U 0.500 0.000 0.500
13 S 0.755 0.771 0.508
14 S 0.985 0.501 0.242
15 S 0.015 0.499 0.758
16 K 0.501 0.504 0.750
17 S 0.271 0.745 0.492
18 K 0.001 0.996 0.250
19 S 0.229 0.245 0.008
20 S 0.255 0.729 0.008

As for the symmetry: P2_1/c, No. 14. The calculation puts the density of states at the Fermi level at 13.329 states/eV/cell. As for the calculated volume: 569.4 Å³/cell. For the calculated density, the calculation gives 3.5 Mg/m³. The calculation puts the formation energy without anion corrections at -1.33 eV/atom.

=====

This record from Alexandria describes an optimized crystal structure of Cd6InHg10. The functional is PBE.

Cell: 6.523 8.768 8.768 Å, 120.00 90.00 90.00°
Element x y z (fractional)
1 Hg 0.823 0.727 0.727
2 Cd 0.302 0.378 0.000
3 Hg 0.500 0.667 0.333
4 Cd 0.698 0.000 0.622
5 Hg 0.000 0.333 0.667
6 Cd 0.698 0.378 0.378
7 Cd 0.302 0.000 0.378
8 Cd 0.302 0.622 0.622
9 Hg 0.823 0.000 0.273
10 Hg 0.177 0.273 0.273
11 Hg 0.177 0.000 0.727
12 Hg 0.500 0.333 0.667
13 Cd 0.698 0.622 0.000
14 Hg 0.823 0.273 0.000
15 Hg 0.177 0.727 0.000
16 Hg 0.000 0.667 0.333
17 In 0.500 0.000 0.000

As for the symmetry: P-31m, No. 162. The calculation puts the density of states at the Fermi level at 5.755 states/eV/cell. As for the calculated volume: 434.3 Å³/cell. For the formation energy, the calculation gives 0.64 eV/f.u. For the calculated density, the calculation gives 10.7 Mg/m³.